1.
{
  "formula": "CsNbSn2P",
  "functional": "SCAN",
  "state": "single point on PBEsol structure",
  "lattice": [[5.336, 0.000, 0.000], [0.000, 5.336, 0.000], [0.000, 0.000, 5.925]],
  "species": ["Nb", "Sn", "Sn", "P", "Cs"],
  "frac_coords": [[0.000, 0.000, 0.000], [0.000, 0.500, 0.000], [0.500, 0.000, 0.000], [0.500, 0.500, 0.500], [0.000, 0.000, 0.500]],
  "vol_a3_per_cell": 168.7,
  "dos_ef_per_ev_atom": 0.455,
  "m_tot_mub_per_fu": 3.83,
  "sg": "P4/mmm, No. 123",
  "final_energy_ev_per_atom": -29.727
}

---

2.
{
  "formula": "MnTe2W",
  "functional": "SCAN",
  "state": "single point on PBEsol structure",
  "lattice": [[-0.842, 1.966, 2.719], [2.310, -3.486, 1.035], [4.929, 4.386, -1.643]],
  "species": ["Mn", "Te", "W", "Te"],
  "frac_coords": [[0.766, 0.532, 0.323], [0.232, 0.463, 0.649], [0.483, 0.967, 0.418], [0.019, 0.038, 0.109]],
  "e_above_lowest_polymorph_ev_per_atom": 0.1025,
  "vol_a3_per_cell": 90.8,
  "dos_ef_per_ev_atom": 0.846,
  "m_tot_mub_per_fu": 1.59,
  "sg": "Cm, No. 8"
}

---

3.
{
  "formula": "CsAlP2O",
  "functional": "SCAN",
  "state": "single point on PBEsol structure",
  "lattice": [[4.230, 0.000, 0.000], [0.000, 5.314, 0.000], [0.000, 0.000, 5.314]],
  "species": ["Al", "Cs", "P", "O", "P"],
  "frac_coords": [[0.500, 0.500, 0.500], [0.000, 0.000, 0.000], [0.000, 0.500, 0.000], [0.500, 0.000, 0.000], [0.000, 0.000, 0.500]],
  "vol_a3_per_cell": 119.4,
  "dos_ef_per_ev_atom": 0.702,
  "m_tot_mub_per_fu": 0.00,
  "sg": "P4/mmm, No. 123",
  "final_energy_ev_per_atom": -12.896
}

---

4.
{
  "formula": "Te2IrNO",
  "functional": "SCAN",
  "state": "single point on PBEsol structure",
  "lattice": [[-1.885, -2.810, -1.469], [2.084, -2.899, 2.873], [-3.343, 0.638, 3.069]],
  "species": ["Te", "O", "N", "Te", "Ir"],
  "frac_coords": [[0.000, 0.500, 0.000], [0.000, 0.000, 0.000], [0.500, 0.000, 0.000], [0.000, 0.000, 0.500], [0.500, 0.500, 0.500]],
  "vol_a3_per_cell": 77.5,
  "dos_ef_per_ev_atom": 0.368,
  "m_tot_mub_per_fu": 1.70,
  "sg": "P4/mmm, No. 123",
  "final_energy_ev_per_atom": -30.959
}

---

5.
{
  "formula": "Dy5Ge2Sb2",
  "functional": "SCAN",
  "state": "single point on PBEsol structure",
  "lattice": [[-1.108, 7.385, -2.217], [-2.815, -2.246, 7.609], [6.882, 1.971, 3.128]],
  "species": ["Dy", "Ge", "Dy", "Sb", "Dy", "Ge", "Sb", "Dy", "Sb", "Sb", "Dy", "Dy", "Dy", "Dy", "Dy", "Ge", "Dy", "Ge"],
  "frac_coords": [[0.538, 0.744, 0.165], [0.364, 0.000, 0.136], [0.462, 0.256, 0.835], [0.795, 0.589, 0.000], [0.000, 0.000, 0.000], [0.864, 0.000, 0.364], [0.705, 0.411, 0.500], [0.500, 0.000, 0.500], [0.295, 0.589, 0.500], [0.205, 0.411, 0.000], [0.038, 0.744, 0.335], [0.706, 0.744, 0.665], [0.294, 0.256, 0.335], [0.794, 0.256, 0.165], [0.206, 0.744, 0.835], [0.636, 0.000, 0.864], [0.962, 0.256, 0.665], [0.136, 0.000, 0.636]],
  "vol_a3_per_cell": 454.2,
  "dos_ef_per_ev_atom": 0.645,
  "m_tot_mub_per_fu": 0.00,
  "sg": "Cmce, No. 64",
  "final_energy_ev_per_atom": -40.132
}

---

6.
{
  "formula": "CaHgMo",
  "functional": "SCAN",
  "state": "single point on PBEsol structure",
  "lattice": [[4.739, 0.000, 0.000], [2.369, 4.104, 0.000], [2.369, 1.368, 3.869]],
  "species": ["Hg", "Ca", "Mo"],
  "frac_coords": [[0.500, 0.500, 0.500], [0.000, 0.000, 0.000], [0.250, 0.250, 0.250]],
  "vol_a3_per_cell": 75.2,
  "dos_ef_per_ev_atom": 0.819,
  "m_tot_mub_per_fu": 3.40,
  "sg": "F-43m, No. 216",
  "final_energy_ev_per_atom": -36.744
}

---

7.
{
  "formula": "MnH10SeO9",
  "functional": "SCAN",
  "state": "single point on PBEsol structure",
  "lattice": [[6.205, -0.019, -0.046], [2.097, 5.897, -0.047], [1.499, 2.274, 10.392]],
  "species": ["O", "O", "H", "O", "O", "O", "H", "O", "H", "O", "O", "Mn", "O", "H", "O", "H", "H", "H", "Se", "H", "O", "O", "O", "O", "H", "H", "O", "Mn", "H", "H", "H", "H", "O", "H", "H", "H", "O", "H", "Se", "H", "O", "H"],
  "frac_coords": [[0.194, 0.694, 0.126], [0.973, 0.771, 0.586], [0.868, 0.346, 0.786], [0.357, 0.853, 0.608], [0.816, 0.715, 0.327], [0.643, 0.147, 0.392], [0.275, 0.423, 0.795], [0.376, 0.970, 0.288], [0.557, 0.592, 0.611], [0.306, 0.547, 0.395], [0.348, 0.439, 0.868], [0.000, 0.000, 0.000], [0.841, 0.802, 0.936], [0.350, 0.691, 0.364], [0.159, 0.198, 0.064], [0.650, 0.309, 0.636], [0.132, 0.654, 0.214], [0.636, 0.346, 0.869], [0.360, 0.013, 0.711], [0.257, 0.120, 0.138], [0.280, 0.892, 0.859], [0.027, 0.229, 0.414], [0.652, 0.561, 0.132], [0.694, 0.453, 0.605], [0.765, 0.701, 0.001], [0.364, 0.654, 0.131], [0.806, 0.306, 0.874], [0.000, 0.500, 0.500], [0.743, 0.880, 0.862], [0.235, 0.299, 0.999], [0.700, 0.391, 0.133], [0.890, 0.183, 0.406], [0.184, 0.285, 0.673], [0.300, 0.609, 0.867], [0.725, 0.577, 0.205], [0.835, 0.870, 0.628], [0.720, 0.108, 0.141], [0.443, 0.408, 0.389], [0.640, 0.987, 0.289], [0.110, 0.817, 0.594], [0.624, 0.030, 0.712], [0.165, 0.130, 0.372]],
  "vol_a3_per_cell": 381.5,
  "m_tot_mub_per_fu": 5.00,
  "sg": "P-1, No. 2",
  "final_energy_ev_per_atom": -7.252
}

---

8.
{
  "formula": "YTe2IBr",
  "functional": "SCAN",
  "state": "single point on PBEsol structure",
  "lattice": [[-2.525, 0.579, 5.110], [3.691, -3.862, 2.262], [3.673, 4.289, 1.329]],
  "species": ["Br", "I", "Y", "Te", "Te"],
  "frac_coords": [[0.500, 0.500, 0.500], [0.500, 0.000, 0.000], [0.000, 0.000, 0.000], [0.000, 0.500, 0.000], [0.000, 0.000, 0.500]],
  "vol_a3_per_cell": 192.8,
  "dos_ef_per_ev_atom": 0.808,
  "m_tot_mub_per_fu": 2.69,
  "sg": "P4/mmm, No. 123",
  "final_energy_ev_per_atom": -32.111
}

---

9.
{
  "formula": "TaCu2Au",
  "functional": "SCAN",
  "state": "single point on PBEsol structure",
  "lattice": [[2.836, 0.000, 0.000], [0.000, 3.394, 0.000], [0.000, 0.000, 5.937]],
  "species": ["Cu", "Au", "Ta", "Cu"],
  "frac_coords": [[0.000, 0.000, 0.253], [0.500, 0.500, 0.500], [0.500, 0.500, 0.000], [0.000, 0.000, 0.747]],
  "e_above_lowest_polymorph_ev_per_atom": 0.0063,
  "vol_a3_per_cell": 57.2,
  "dos_ef_per_ev_atom": 0.521,
  "m_tot_mub_per_fu": 0.00,
  "sg": "Pmmm, No. 47"
}

---

10.
{
  "formula": "SrTcNi2",
  "functional": "SCAN",
  "state": "single point on PBEsol structure",
  "lattice": [[-1.855, 3.223, -1.899], [-0.182, -0.119, -4.615], [-4.276, -0.701, -1.603]],
  "species": ["Ni", "Sr", "Ni", "Tc"],
  "frac_coords": [[0.191, 0.809, 0.809], [0.000, 0.500, 0.500], [0.809, 0.191, 0.191], [0.500, 0.000, 0.000]],
  "e_above_lowest_polymorph_ev_per_atom": 0.1796,
  "vol_a3_per_cell": 69.0,
  "dos_ef_per_ev_atom": 0.837,
  "m_tot_mub_per_fu": 0.63,
  "sg": "Immm, No. 71"
}

---

11.
{
  "formula": "MnTe2OsN",
  "functional": "SCAN",
  "state": "single point on PBEsol structure",
  "lattice": [[-0.739, 3.482, 0.773], [-2.424, -1.531, 4.578], [4.701, 0.414, 2.627]],
  "species": ["Te", "Te", "Os", "Mn", "N"],
  "frac_coords": [[0.000, 0.000, 0.500], [0.000, 0.500, 0.000], [0.000, 0.000, 0.000], [0.500, 0.500, 0.500], [0.500, 0.000, 0.000]],
  "vol_a3_per_cell": 106.3,
  "dos_ef_per_ev_atom": 0.541,
  "m_tot_mub_per_fu": 4.58,
  "sg": "P4/mmm, No. 123",
  "final_energy_ev_per_atom": -34.480
}

---

12.
{
  "formula": "CaMnHg",
  "functional": "SCAN",
  "state": "single point on PBEsol structure",
  "lattice": [[4.781, 0.000, 0.000], [2.391, 4.141, 0.000], [2.391, 1.380, 3.904]],
  "species": ["Hg", "Ca", "Mn"],
  "frac_coords": [[0.250, 0.250, 0.250], [0.500, 0.500, 0.500], [0.000, 0.000, 0.000]],
  "vol_a3_per_cell": 77.3,
  "dos_ef_per_ev_atom": 1.185,
  "m_tot_mub_per_fu": 4.46,
  "sg": "F-43m, No. 216",
  "final_energy_ev_per_atom": -32.145
}